Entry from Alexandria via LeMat-Bulk: a relaxed La7Tm2Th2 crystal (PBE-GGA). Values from VASP.

```
&SYSTEM
  ibrav = 0, nat = 11, ntyp = 3
/
ATOMIC_SPECIES
La 138.91 La.upf
Th 232.04 Th.upf
Tm 168.93 Tm.upf
CELL_PARAMETERS angstrom
6.4274 -0.1353 -0.0907
-2.5138 5.9170 -0.0907
-0.0731 -0.1081 10.2196
ATOMIC_POSITIONS crystal
La 0.4095 0.8130 0.8475
Th 0.8232 0.8232 0.6341
Tm 0.7276 0.2724 0.5000
La 0.7057 0.7057 0.3016
La 0.0000 0.0000 0.0000
La 0.2943 0.2943 0.6984
La 0.5905 0.1870 0.1525
Th 0.1768 0.1768 0.3659
La 0.1870 0.5905 0.1525
Tm 0.2724 0.7276 0.5000
La 0.8130 0.4095 0.8475
```

Calculated values
- ΔE_f (eV per formula unit) = 1.1
- mass density (Mg/m³) = 7.7
- raw total energy (eV for the cell shown) = -57.2
- polymorph energy (0 for the lowest one) (eV/f.u.) = 0.00

---

Entry from Alexandria via LeMat-Bulk: a relaxed LaTmTh crystal (PBE-GGA). Values from VASP.

```
&SYSTEM
  ibrav = 0, nat = 3, ntyp = 3
/
ATOMIC_SPECIES
Tm 168.93 Tm.upf
Th 232.04 Th.upf
La 138.91 La.upf
CELL_PARAMETERS angstrom
-3.0423 -3.6180 3.2381
-0.7521 0.0864 -5.6796
2.5175 -2.4486 -0.3706
ATOMIC_POSITIONS crystal
Tm 0.0000 0.0000 0.1673
Th 0.6667 0.3333 0.1662
La 0.3333 0.6667 0.6665
```

Calculated values
- ΔE_f (eV per formula unit) = 0.5
- mass density (Mg/m³) = 8.9
- raw total energy (eV for the cell shown) = -16.4
- polymorph energy (0 for the lowest one) (eV/f.u.) = 0.35

---

Entry from Alexandria via LeMat-Bulk: a relaxed La2TmTh crystal (PBE-GGA). Values from VASP.

```
&SYSTEM
  ibrav = 0, nat = 8, ntyp = 3
/
ATOMIC_SPECIES
La 138.91 La.upf
Th 232.04 Th.upf
Tm 168.93 Tm.upf
CELL_PARAMETERS angstrom
-2.8844 -0.7428 2.0381
-5.2280 -5.3265 -2.9891
1.1896 -10.7650 4.1120
ATOMIC_POSITIONS crystal
La 0.6293 0.1293 0.7412
La 0.7276 0.2726 0.9997
Th 0.0000 0.5000 0.5000
La 0.3707 0.8707 0.2588
Th 0.5000 0.0000 0.5000
Tm 0.1346 0.6343 0.7315
La 0.2724 0.7274 0.0003
Tm 0.8654 0.3657 0.2685
```

Calculated values
- ΔE_f (eV per formula unit) = 0.1
- mass density (Mg/m³) = 8.3
- raw total energy (eV for the cell shown) = -43.3
- polymorph energy (0 for the lowest one) (eV/f.u.) = 0.00

---

Entry from Alexandria via LeMat-Bulk: a relaxed La8Tm2Th3 crystal (PBE-GGA). Values from VASP.

```
&SYSTEM
  ibrav = 0, nat = 13, ntyp = 3
/
ATOMIC_SPECIES
La 138.91 La.upf
Th 232.04 Th.upf
Tm 168.93 Tm.upf
CELL_PARAMETERS angstrom
9.0971 -1.1599 -5.1895
-1.9294 9.4204 -5.4878
-3.5566 -1.8816 9.1891
ATOMIC_POSITIONS crystal
La 0.9902 0.3818 0.7635
Th 0.5000 0.0000 0.0000
La 0.8372 0.7519 0.5037
Tm 0.4293 0.1900 0.3799
Th 0.0000 0.7622 0.0000
La 0.0098 0.6182 0.2365
La 0.6390 0.2345 0.9519
La 0.3610 0.2826 0.0481
Tm 0.5707 0.8100 0.6201
La 0.6390 0.7174 0.9519
Th 0.0000 0.2378 0.0000
La 0.3610 0.7655 0.0481
La 0.1628 0.2481 0.4963
```

Calculated values
- ΔE_f (eV per formula unit) = 2.7
- mass density (Mg/m³) = 7.8
- raw total energy (eV for the cell shown) = -68.0

---

Entry from Alexandria via LeMat-Bulk: a relaxed La4Tm5Th crystal (PBE-GGA). Values from VASP.

```
&SYSTEM
  ibrav = 0, nat = 20, ntyp = 3
/
ATOMIC_SPECIES
Th 232.04 Th.upf
La 138.91 La.upf
Tm 168.93 Tm.upf
CELL_PARAMETERS angstrom
6.7888 0.0000 0.0000
0.0000 8.8623 0.0000
0.0000 0.0000 11.8627
ATOMIC_POSITIONS crystal
Th 0.5000 0.5000 0.2244
Th 0.0000 0.0000 0.7756
La 0.2455 0.5000 0.4637
Tm 0.2517 0.6842 0.7257
Tm 0.2483 0.8158 0.2743
Tm 0.5000 0.0000 0.7968
La 0.7545 0.5000 0.4637
Tm 0.7517 0.8158 0.2743
La 0.5000 0.7342 0.0090
La 0.0000 0.7658 0.9910
La 0.0000 0.2342 0.9910
Tm 0.0000 0.5000 0.2032
Tm 0.2517 0.3158 0.7257
La 0.5000 0.2658 0.0090
La 0.7455 0.0000 0.5363
Tm 0.7517 0.1842 0.2743
Tm 0.2483 0.1842 0.2743
Tm 0.7483 0.3158 0.7257
Tm 0.7483 0.6842 0.7257
La 0.2545 0.0000 0.5363
```

Calculated values
- ΔE_f (eV per formula unit) = 3.2
- mass density (Mg/m³) = 7.6
- raw total energy (eV for the cell shown) = -92.6

---

Entry from Alexandria via LeMat-Bulk: a relaxed LaTm6Th3 crystal (PBE-GGA). Values from VASP.

```
&SYSTEM
  ibrav = 0, nat = 20, ntyp = 3
/
ATOMIC_SPECIES
La 138.91 La.upf
Th 232.04 Th.upf
Tm 168.93 Tm.upf
CELL_PARAMETERS angstrom
-2.4447 0.2322 2.5857
-6.0260 -13.1851 0.3774
6.8758 -5.0576 9.4117
ATOMIC_POSITIONS crystal
La 0.4750 0.3268 0.9005
Th 0.0748 0.5237 0.3058
Th 0.9746 0.8278 0.8956
Tm 0.6729 0.7269 0.7011
Th 0.0254 0.1722 0.1044
Th 0.4226 0.9770 0.6981
Tm 0.2748 0.9260 0.0994
Tm 0.8793 0.1234 0.4966
Tm 0.6229 0.3756 0.5020
Tm 0.1780 0.2249 0.6974
Tm 0.8220 0.7751 0.3026
Tm 0.7734 0.4244 0.1069
Tm 0.2266 0.5756 0.8931
Th 0.5774 0.0230 0.3019
Tm 0.1207 0.8766 0.5034
Tm 0.3771 0.6244 0.4980
Th 0.9252 0.4763 0.6942
La 0.5250 0.6732 0.0995
Tm 0.7252 0.0740 0.9006
Tm 0.3271 0.2731 0.2989
```

Calculated values
- ΔE_f (eV per formula unit) = 0.3
- mass density (Mg/m³) = 9.8
- raw total energy (eV for the cell shown) = -107.4

---

Entry from Alexandria via LeMat-Bulk: a relaxed LaY5Tm2Th crystal (PBE-GGA). Values from VASP.

```
&SYSTEM
  ibrav = 0, nat = 18, ntyp = 4
/
ATOMIC_SPECIES
Y 88.91 Y.upf
Th 232.04 Th.upf
Tm 168.93 Tm.upf
La 138.91 La.upf
CELL_PARAMETERS angstrom
5.7530 0.0000 0.0000
-2.8765 10.5254 0.0000
0.0000 0.0000 9.8623
ATOMIC_POSITIONS crystal
Y 0.6974 0.3949 0.2117
Th 0.1915 0.3830 0.0257
Tm 0.1284 0.2568 0.7134
Y 0.7341 0.4682 0.8395
Y 0.3026 0.6051 0.7117
Y 0.4728 0.9455 0.7401
Tm 0.1110 0.2221 0.3219
La 0.4045 0.8090 0.4223
Tm 0.8716 0.7432 0.2134
Y 0.6136 0.2272 0.5317
La 0.5955 0.1910 0.9223
Y 0.5272 0.0545 0.2401
Y 0.2659 0.5318 0.3395
Tm 0.8890 0.7779 0.8219
Y 0.0139 0.0278 0.0178
Th 0.8085 0.6170 0.5257
Y 0.9861 0.9722 0.5178
Y 0.3864 0.7728 0.0317
```

Calculated values
- ΔE_f (eV per formula unit) = 1.5
- mass density (Mg/m³) = 6.4
- raw total energy (eV for the cell shown) = -104.2

---

Entry from Alexandria via LeMat-Bulk: a relaxed LaY3TmTh crystal (PBE-GGA). Values from VASP.

```
&SYSTEM
  ibrav = 0, nat = 12, ntyp = 4
/
ATOMIC_SPECIES
Y 88.91 Y.upf
Th 232.04 Th.upf
La 138.91 La.upf
Tm 168.93 Tm.upf
CELL_PARAMETERS angstrom
5.0901 0.0000 0.0000
0.0000 7.9499 -1.1984
0.0000 -3.2331 10.2355
ATOMIC_POSITIONS crystal
Y 0.2500 0.6275 0.4548
Y 0.7500 0.3725 0.5452
Y 0.2500 0.6157 0.7940
Th 0.2500 0.6220 0.1221
Y 0.7500 0.3843 0.2060
La 0.2500 0.1192 0.2939
La 0.7500 0.8808 0.7061
Y 0.7500 0.8661 0.0432
Tm 0.7500 0.8702 0.3712
Th 0.7500 0.3780 0.8779
Tm 0.2500 0.1298 0.6288
Y 0.2500 0.1339 0.9568
```

Calculated values
- ΔE_f (eV per formula unit) = 0.2
- mass density (Mg/m³) = 6.8
- raw total energy (eV for the cell shown) = -72.0

---

Entry from Alexandria via LeMat-Bulk: a relaxed La5YTm2Th crystal (PBE-GGA). Values from VASP.

```
&SYSTEM
  ibrav = 0, nat = 18, ntyp = 4
/
ATOMIC_SPECIES
Th 232.04 Th.upf
La 138.91 La.upf
Y 88.91 Y.upf
Tm 168.93 Tm.upf
CELL_PARAMETERS angstrom
-3.2464 3.1792 3.0956
3.5018 -7.9831 6.9885
8.4444 6.0328 2.6600
ATOMIC_POSITIONS crystal
Th 0.7875 0.5750 0.5083
La 0.6272 0.2545 0.5082
La 0.3728 0.7455 0.0082
Th 0.2125 0.4250 0.0083
La 0.0026 0.0051 0.5081
Y 0.3978 0.7956 0.5081
La 0.2765 0.5529 0.3153
Y 0.6022 0.2044 0.0081
La 0.5000 0.0000 0.2582
La 0.7235 0.4471 0.8153
La 0.7233 0.4467 0.2014
Tm 0.1117 0.2233 0.2497
La 0.2767 0.5533 0.7014
Tm 0.8882 0.7764 0.2666
Tm 0.1118 0.2236 0.7666
La 0.5000 0.0000 0.7582
La 0.9974 0.9949 0.0081
Tm 0.8883 0.7767 0.7497
```

Calculated values
- ΔE_f (eV per formula unit) = 1.2
- mass density (Mg/m³) = 7.0
- raw total energy (eV for the cell shown) = -92.6

---

Entry from Alexandria via LeMat-Bulk: a relaxed LaYTm5Th2 crystal (PBE-GGA). Values from VASP.

```
&SYSTEM
  ibrav = 0, nat = 18, ntyp = 4
/
ATOMIC_SPECIES
Tm 168.93 Tm.upf
Th 232.04 Th.upf
La 138.91 La.upf
Y 88.91 Y.upf
CELL_PARAMETERS angstrom
8.9072 0.0000 0.0000
0.0000 8.9072 0.0000
-4.4536 -4.4536 7.5022
ATOMIC_POSITIONS crystal
Tm 0.8424 0.9291 0.2715
Th 0.8816 0.6184 0.0000
La 0.7500 0.7500 0.5000
Tm 0.0709 0.5709 0.7286
Y 0.7500 0.2500 0.5000
Tm 0.5709 0.6576 0.7286
Tm 0.5000 0.5000 0.0000
La 0.2500 0.2500 0.5000
Th 0.6184 0.1184 0.0000
Tm 0.6576 0.1576 0.7286
Tm 0.0000 0.0000 0.0000
Th 0.3816 0.8816 0.0000
Th 0.1184 0.3816 0.0000
Tm 0.3424 0.8424 0.2715
Tm 0.9291 0.4291 0.2715
Tm 0.4291 0.3424 0.2715
Tm 0.1576 0.0709 0.7286
Y 0.2500 0.7500 0.5000
```

Calculated values
- ΔE_f (eV per formula unit) = 3.0
- mass density (Mg/m³) = 8.6
- raw total energy (eV for the cell shown) = -91.2